No. 1
A relaxed HfTlInPt2 crystal, computed with PBE.

a = 4.990 Å, b = 4.990 Å, c = 5.221 Å
α = 90.00°, β = 90.00°, γ = 90.00°
Fractional positions:
Hf1 0.000 0.000 0.000
Tl1 0.500 0.500 0.000
In1 0.500 0.500 0.500
Pt1 0.000 0.500 0.500
Pt2 0.500 0.000 0.500

As for the space group: P4/mmm (123). The theoretical density is 11.34 g cm⁻³. The calculation puts the size of the total moment at 0.00 Bohr magnetons per cell. As for the density of states at the Fermi level: 5.22 states/eV per cell. Its formation energy from the elements is 901 meV per atom.

---

No. 2
A relaxed RbTlPbSe2 crystal, computed with PBE.

a = 9.803 Å, b = 9.803 Å, c = 9.831 Å
α = 102.28°, β = 102.28°, γ = 28.40°
Fractional positions:
Rb1 0.186 0.186 0.144
Rb2 0.814 0.814 0.856
Tl1 0.187 0.187 0.506
Tl2 0.813 0.813 0.494
Pb1 0.425 0.425 0.320
Pb2 0.575 0.575 0.680
Se1 0.169 0.169 0.794
Se2 0.412 0.412 0.607
Se3 0.588 0.588 0.393
Se4 0.831 0.831 0.206

The uncorrected formation energy comes out at -0.61 eV per atom. As for the space group: C2/m (12). The theoretical density is 4.96 g cm⁻³. The calculation puts the size of the total moment at 0.00 Bohr magnetons per cell.

---

No. 3
A relaxed TiZnHg3 crystal, computed with PBE.

a = 5.498 Å, b = 5.498 Å, c = 5.498 Å
α = 90.00°, β = 90.00°, γ = 90.00°
Fractional positions:
Ti1 0.000 0.000 0.000
Zn1 0.500 0.500 0.500
Hg1 0.000 0.000 0.500
Hg2 0.000 0.500 0.000
Hg3 0.500 0.000 0.000

As for the space group: Pm-3m (221). The theoretical density is 7.14 g cm⁻³. The value obtained for the energy relative to the lowest polymorph listed for this composition is 0.0 meV per atom. The calculation puts the size of the total moment at 3.18 Bohr magnetons per cell. As for the density of states at the Fermi level: 6.84 states/eV per cell. Its formation energy from the elements is 589 meV per atom.

---

No. 4
A relaxed KCr3P crystal, computed with PBE.

a = 4.934 Å, b = 4.934 Å, c = 4.934 Å
α = 90.00°, β = 90.00°, γ = 90.00°
Fractional positions:
K1 0.000 0.000 0.000
Cr1 0.000 0.500 0.500
Cr2 0.500 0.000 0.500
Cr3 0.500 0.500 0.000
P1 0.500 0.500 0.500

As for the space group: Pm-3m (221). The theoretical density is 3.13 g cm⁻³. The value obtained for the energy relative to the lowest polymorph listed for this composition is 0.0 meV per atom. The calculation puts the size of the total moment at 13.78 Bohr magnetons per cell. As for the density of states at the Fermi level: 2.68 states/eV per cell. Its formation energy from the elements is 769 meV per atom.

---

Q: size of the total moment of number 4 (KCr3P)?
A: 13.78 Bohr magnetons per cell